VASP calculation (GGA-PBE) on a relaxed structure of CaZn5Au7.

Properties
Space-group type: Imm2
ΔE_f, eV/atom: -0.3349
N(E_F), states/eV/atom: 0.2846

a b c (Å): 5.3593 7.0798 7.0798
angles (deg): 82.46 67.76 67.76
Atoms (fractional coordinates):
Ca: 0.9906 0.0094 0.0094
Zn: 0.5034 0.9963 0.4944
Zn: 0.0060 0.9963 0.4944
Zn: 0.5034 0.4944 0.9963
Zn: 0.0060 0.4944 0.9963
Zn: 0.7300 0.7700 0.7700
Au: 0.6491 0.3509 0.3509
Au: 0.3232 0.6768 0.6768
Au: 0.9954 0.3447 0.6644
Au: 0.9954 0.6644 0.3447
Au: 0.2752 0.2248 0.2248
Au: 0.5113 0.7904 0.1871
Au: 0.5113 0.1871 0.7904

VASP calculation (GGA-PBE) on a relaxed structure of TeOsSe2.

Properties
Space-group type: P4/mmm
ΔE_f (raw), meV/atom: 276
N(E_F), states/eV/atom: 0.5960

a b c (Å): 3.0301 3.0301 10.1641
angles (deg): 90.00 90.00 90.00
Atoms (fractional coordinates):
Os: 0.5000 0.5000 0.7500
Se: 0.0000 0.0000 0.9054
Se: 0.0000 0.0000 0.5946
Te: 0.5000 0.5000 0.2500

VASP calculation (GGA-PBE) on a relaxed structure of SrReBi3.

Properties
Space-group type: Pm-3m
ΔE_f, eV/atom: 2.2462
N(E_F), states/eV/atom: 3.4330
Distance to the lowest polymorph of the same formula, eV per formula unit: 9.23

a b c (Å): 5.8136 5.8136 5.8136
angles (deg): 90.00 90.00 90.00
Atoms (fractional coordinates):
Re: 0.5000 0.5000 0.5000
Bi: 0.0000 0.5000 0.0000
Bi: 0.0000 0.0000 0.5000
Bi: 0.5000 0.0000 0.0000
Sr: 0.0000 0.0000 0.0000

VASP calculation (GGA-PBE) on a relaxed structure of DyHo2InN4.

Properties
Space-group type: P2/m
ΔE_f (raw), meV/atom: -1216

a b c (Å): 3.4409 5.9483 5.9553
angles (deg): 110.36 90.00 90.00
Atoms (fractional coordinates):
Dy: 0.5000 0.5000 0.0000
Ho: 0.5000 0.0000 0.5000
Ho: 0.0000 0.5000 0.5000
In: 0.0000 0.0000 0.0000
N: 0.5000 0.2500 0.2511
N: 0.5000 0.7500 0.7489
N: 0.0000 0.2556 0.7424
N: 0.0000 0.7444 0.2576

VASP calculation (GGA-PBE) on a relaxed structure of Pu2TaH.

Properties
Space-group type: R-3m
N(E_F), states/eV/atom: 2.9545
Distance to the lowest polymorph of the same formula, eV per formula unit: 0.90

a b c (Å): 2.9672 2.9672 9.3921
angles (deg): 80.91 80.91 60.00
Last column: magnetic moment on the atom in μB.
Atoms (fractional coordinates):
H: 0.5000 0.5000 0.5000  -0.02
Ta: 0.0000 0.0000 0.0000  0.09
Pu: 0.1074 0.1074 0.6779  4.87
Pu: 0.8926 0.8926 0.3221  4.87

VASP calculation (GGA-PBE) on a relaxed structure of TlPtW2.

Properties
Space-group type: Fm-3m
ΔE_f, eV/atom: 0.8378
N(E_F), states/eV/atom: 0.6396
Distance to the lowest polymorph of the same formula, eV per formula unit: 1.82

a b c (Å): 4.6127 4.6127 4.6127
angles (deg): 60.00 60.00 60.00
Atoms (fractional coordinates):
Tl: 0.5000 0.5000 0.5000
W: 0.2500 0.2500 0.2500
W: 0.7500 0.7500 0.7500
Pt: 0.0000 0.0000 0.0000

Values of electronic total energy, in order: -2.7436; -5.0588; -2.9084; -7.4412; -10.5672; -7.7405, all in eV per atom.
Values of theoretical density, in order: 12.60; 8.47; 7.61; 9.64; 15.80; 18.36, all in Mg/m³.